This record from Alexandria via LeMat-Bulk describes a geometry-optimized BC structure. The functional is PBE-GGA.

Geometry as extended XYZ:
```
12
Lattice="2.443 0.000 0.000 0.000 4.252 0.000 0.000 0.000 7.726" Properties=species:S:1:pos:R:3 pbc="T T T"
B 1.221 2.040 1.354
B 0.000 0.207 0.000
B 1.221 3.174 0.000
B 1.221 2.295 3.863
B 0.000 0.878 3.863
B 1.221 2.040 6.371
C 0.000 0.971 1.380
C 0.000 4.204 2.522
C 1.221 3.326 2.529
C 0.000 0.971 6.346
C 0.000 4.204 5.204
C 1.221 3.326 5.197
```

As for the space group: No. 25. The calculation puts the calculated volume at 80.2 Å³/cell. The formation energy is 419 meV per atom. The energy above the most stable polymorph in this dataset is 268 meV/atom.